Be3MoH: optimized geometry, PBEsol.

Output
The calculation puts the final energy at -5.328 eV/atom.

a = 3.457 Å, b = 3.457 Å, c = 3.457 Å
α = 90.00°, β = 90.00°, γ = 90.00°
Fractional coordinates of all 5 atoms:
Be (0.000, 0.000, 0.500)
Be (0.000, 0.500, 0.000)
Be (0.500, 0.000, 0.000)
Mo (0.500, 0.500, 0.500)
H (0.000, 0.000, 0.000)